(1)
Density functional theory data (GGA-PBE) for a relaxed SrTl2GeH crystal.

The structure in POSCAR format:
```
SrTl2GeH
1.0
5.564 0.000 0.000
0.000 5.564 0.000
0.000 0.000 6.168
Sr Tl Ge H
1 2 1 1
direct
0.000 0.000 0.000
0.000 0.500 0.500
0.500 0.000 0.500
0.000 0.000 0.500
0.500 0.500 0.000
```

* density of states at the Fermi level: 3.886 states/eV/cell
* spin magnetization: 0.0 μB/f.u.
* SG: No. 123
* final energy: -2.497 eV per atom


(2)
Density functional theory data (GGA-PBE) for a relaxed SrZnGeH crystal.

The structure in POSCAR format:
```
SrZnGeH
1.0
4.328 0.000 0.000
-2.164 3.748 0.000
0.000 0.000 4.696
Sr Zn Ge H
1 1 1 1
direct
0.000 0.000 0.000
0.333 0.667 0.467
0.667 0.333 0.548
0.333 0.667 0.099
```

* density of states at the Fermi level: 1.678 states/eV/cell
* spin magnetization: 0.0 μB/f.u.
* SG: No. 156
* final energy: -3.085 eV per atom